No. 1
The following is a DFT calculation (GGA-PBE) of a relaxed ScTlRu2 crystal.

Geometry as CIF:
```
data_ScTlRu2
_cell_length_a 4.638
_cell_length_b 4.638
_cell_length_c 4.638
_cell_angle_alpha 60.00
_cell_angle_beta 60.00
_cell_angle_gamma 60.00
_space_group_name_H-M_alt 'P 1'
_space_group_IT_number 1
loop_
_space_group_symop_operation_xyz
'x,y,z'
loop_
_atom_site_label
_atom_site_type_symbol
_atom_site_fract_x
_atom_site_fract_y
_atom_site_fract_z
Ru1 Ru 0.000 0.000 0.000
Ru2 Ru 0.250 0.250 0.250
Sc1 Sc 0.500 0.500 0.500
Tl1 Tl 0.750 0.750 0.750
```

Output
As for the formation energy: 207.2 meV per atom.



No. 2
The following is a DFT calculation (GGA-PBE) of a relaxed AcCu2Pd crystal.

Geometry as CIF:
```
data_AcCu2Pd
_cell_length_a 4.230
_cell_length_b 4.198
_cell_length_c 9.693
_cell_angle_alpha 102.51
_cell_angle_beta 90.00
_cell_angle_gamma 90.00
_space_group_name_H-M_alt 'P 1'
_space_group_IT_number 1
loop_
_space_group_symop_operation_xyz
'x,y,z'
loop_
_atom_site_label
_atom_site_type_symbol
_atom_site_fract_x
_atom_site_fract_y
_atom_site_fract_z
Ac1 Ac 0.250 0.890 0.781
Ac2 Ac 0.750 0.110 0.219
Cu1 Cu 0.250 0.250 0.501
Cu2 Cu 0.750 0.750 0.499
Cu3 Cu 0.750 0.467 0.934
Cu4 Cu 0.250 0.533 0.066
Pd1 Pd 0.750 0.331 0.661
Pd2 Pd 0.250 0.669 0.339
```

Output
As for the formation energy: -355.3 meV per atom. The value obtained for the energy above the lowest structure with this stoichiometry is 0.000 eV/atom.



No. 3
The following is a DFT calculation (GGA-PBE) of a relaxed Sn3RuC crystal.

Geometry as CIF:
```
data_Sn3RuC
_cell_length_a 5.173
_cell_length_b 5.173
_cell_length_c 5.173
_cell_angle_alpha 90.00
_cell_angle_beta 90.00
_cell_angle_gamma 90.00
_space_group_name_H-M_alt 'P 1'
_space_group_IT_number 1
loop_
_space_group_symop_operation_xyz
'x,y,z'
loop_
_atom_site_label
_atom_site_type_symbol
_atom_site_fract_x
_atom_site_fract_y
_atom_site_fract_z
Ru1 Ru 0.000 0.000 0.000
C1 C 0.500 0.500 0.500
Sn1 Sn 0.000 0.500 0.000
Sn2 Sn 0.000 0.000 0.500
Sn3 Sn 0.500 0.000 0.000
```

Output
As for the formation energy: 1277.3 meV per atom. The value obtained for the energy above the lowest structure with this stoichiometry is 0.144 eV/atom.



No. 4
The following is a DFT calculation (GGA-PBE) of a relaxed RbInClF2 crystal.

Geometry as CIF:
```
data_RbInClF2
_cell_length_a 4.623
_cell_length_b 4.623
_cell_length_c 5.546
_cell_angle_alpha 90.00
_cell_angle_beta 90.00
_cell_angle_gamma 90.00
_space_group_name_H-M_alt 'P 1'
_space_group_IT_number 1
loop_
_space_group_symop_operation_xyz
'x,y,z'
loop_
_atom_site_label
_atom_site_type_symbol
_atom_site_fract_x
_atom_site_fract_y
_atom_site_fract_z
F1 F 0.000 0.500 0.000
F2 F 0.500 0.000 0.000
Cl1 Cl 0.000 0.000 0.500
Rb1 Rb 0.500 0.500 0.500
In1 In 0.000 0.000 0.000
```

Output
The calculation puts the raw formation energy at -2029.6 meV/atom.



No. 5
The following is a DFT calculation (GGA-PBE) of a relaxed LiSi6O12 crystal.

Geometry as CIF:
```
data_LiSi6O12
_cell_length_a 5.184
_cell_length_b 7.488
_cell_length_c 7.511
_cell_angle_alpha 93.91
_cell_angle_beta 108.80
_cell_angle_gamma 109.52
_space_group_name_H-M_alt 'P 1'
_space_group_IT_number 1
loop_
_space_group_symop_operation_xyz
'x,y,z'
loop_
_atom_site_label
_atom_site_type_symbol
_atom_site_fract_x
_atom_site_fract_y
_atom_site_fract_z
Li1 Li 0.776 0.456 0.059
Si1 Si 0.680 0.316 0.648
Si2 Si 0.177 0.141 0.802
Si3 Si 0.302 0.689 0.346
Si4 Si 0.799 0.862 0.187
Si5 Si 0.701 0.730 0.769
Si6 Si 0.282 0.276 0.225
O1 O 0.415 0.694 0.576
O2 O 0.618 0.769 0.957
O3 O 0.573 0.326 0.420
O4 O 0.376 0.251 0.034
O5 O 0.771 0.529 0.785
O6 O 0.993 0.911 0.778
O7 O 0.991 0.726 0.266
O8 O 0.560 0.842 0.290
O9 O 0.968 0.257 0.703
O10 O 0.419 0.160 0.700
O11 O 0.007 0.088 0.224
O12 O 0.179 0.464 0.221
```

Output
The value obtained for the energy above the lowest structure with this stoichiometry is 0.018 eV/atom. The calculation puts the raw formation energy at -2571.7 meV/atom.



No. 6
The following is a DFT calculation (GGA-PBE) of a relaxed TmScCu crystal.

Geometry as CIF:
```
data_TmScCu
_cell_length_a 4.789
_cell_length_b 8.548
_cell_length_c 6.296
_cell_angle_alpha 90.00
_cell_angle_beta 90.00
_cell_angle_gamma 90.00
_space_group_name_H-M_alt 'P 1'
_space_group_IT_number 1
loop_
_space_group_symop_operation_xyz
'x,y,z'
loop_
_atom_site_label
_atom_site_type_symbol
_atom_site_fract_x
_atom_site_fract_y
_atom_site_fract_z
Tm1 Tm 0.750 0.916 0.157
Tm2 Tm 0.750 0.584 0.657
Tm3 Tm 0.250 0.084 0.843
Tm4 Tm 0.250 0.416 0.343
Sc1 Sc 0.250 0.814 0.490
Sc2 Sc 0.750 0.314 0.010
Sc3 Sc 0.250 0.686 0.990
Sc4 Sc 0.750 0.186 0.510
Cu1 Cu 0.750 0.593 0.219
Cu2 Cu 0.750 0.907 0.719
Cu3 Cu 0.250 0.093 0.281
Cu4 Cu 0.250 0.407 0.781
```

Output
As for the formation energy: -180.9 meV per atom. The value obtained for the energy above the lowest structure with this stoichiometry is 0.007 eV/atom.



No. 7
The following is a DFT calculation (GGA-PBE) of a relaxed TePOsCl2 crystal.

Geometry as CIF:
```
data_TePOsCl2
_cell_length_a 4.794
_cell_length_b 4.794
_cell_length_c 4.665
_cell_angle_alpha 90.00
_cell_angle_beta 90.00
_cell_angle_gamma 90.00
_space_group_name_H-M_alt 'P 1'
_space_group_IT_number 1
loop_
_space_group_symop_operation_xyz
'x,y,z'
loop_
_atom_site_label
_atom_site_type_symbol
_atom_site_fract_x
_atom_site_fract_y
_atom_site_fract_z
P1 P 0.000 0.000 0.500
Te1 Te 0.500 0.500 0.500
Os1 Os 0.000 0.000 0.000
Cl1 Cl 0.000 0.500 0.000
Cl2 Cl 0.500 0.000 0.000
```

Output
The value obtained for the energy above the lowest structure with this stoichiometry is 0.000 eV/atom. The calculation puts the raw formation energy at 489.9 meV/atom.



No. 8
The following is a DFT calculation (GGA-PBE) of a relaxed Rb2ZrInS4 crystal.

Geometry as CIF:
```
data_Rb2ZrInS4
_cell_length_a 6.813
_cell_length_b 7.968
_cell_length_c 12.184
_cell_angle_alpha 83.13
_cell_angle_beta 73.76
_cell_angle_gamma 64.69
_space_group_name_H-M_alt 'P 1'
_space_group_IT_number 1
loop_
_space_group_symop_operation_xyz
'x,y,z'
loop_
_atom_site_label
_atom_site_type_symbol
_atom_site_fract_x
_atom_site_fract_y
_atom_site_fract_z
Rb1 Rb 0.182 0.000 0.636
Rb2 Rb 0.818 0.000 0.364
Rb3 Rb 0.568 0.500 0.864
Rb4 Rb 0.932 0.500 0.136
Zr1 Zr 0.750 0.500 0.500
Zr2 Zr 0.000 0.000 0.000
In1 In 0.250 0.500 0.500
In2 In 0.500 0.000 0.000
S1 S 0.267 0.809 0.109
S2 S 0.185 0.191 0.891
S3 S 0.924 0.809 0.891
S4 S 0.624 0.191 0.109
S5 S 0.483 0.691 0.391
S6 S 0.565 0.309 0.609
S7 S 0.826 0.691 0.609
S8 S 0.126 0.309 0.391
```

Output
The calculation puts the raw formation energy at -1085.1 meV/atom.



No. 9
The following is a DFT calculation (GGA-PBE) of a relaxed TmFe4W crystal.

Geometry as CIF:
```
data_TmFe4W
_cell_length_a 4.906
_cell_length_b 4.906
_cell_length_c 4.906
_cell_angle_alpha 60.00
_cell_angle_beta 60.00
_cell_angle_gamma 60.00
_space_group_name_H-M_alt 'P 1'
_space_group_IT_number 1
loop_
_space_group_symop_operation_xyz
'x,y,z'
loop_
_atom_site_label
_atom_site_type_symbol
_atom_site_fract_x
_atom_site_fract_y
_atom_site_fract_z
Tm1 Tm 0.000 0.000 0.000
Fe1 Fe 0.624 0.624 0.128
Fe2 Fe 0.624 0.128 0.624
Fe3 Fe 0.624 0.624 0.624
Fe4 Fe 0.128 0.624 0.624
W1 W 0.250 0.250 0.250
```

Output
As for the formation energy: 48.5 meV per atom.



No. 10
The following is a DFT calculation (GGA-PBE) of a relaxed Pr2VP crystal.

Geometry as CIF:
```
data_Pr2VP
_cell_length_a 3.836
_cell_length_b 3.836
_cell_length_c 9.851
_cell_angle_alpha 78.77
_cell_angle_beta 78.77
_cell_angle_gamma 60.00
_space_group_name_H-M_alt 'P 1'
_space_group_IT_number 1
loop_
_space_group_symop_operation_xyz
'x,y,z'
loop_
_atom_site_label
_atom_site_type_symbol
_atom_site_fract_x
_atom_site_fract_y
_atom_site_fract_z
Pr1 Pr 0.106 0.106 0.681
Pr2 Pr 0.894 0.894 0.319
P1 P 0.500 0.500 0.500
V1 V 0.000 0.000 0.000
```

Output
As for the formation energy: 88.0 meV per atom.



No. 11
The following is a DFT calculation (GGA-PBE) of a relaxed K2NaGe2 crystal.

Geometry as CIF:
```
data_K2NaGe2
_cell_length_a 8.262
_cell_length_b 8.262
_cell_length_c 5.192
_cell_angle_alpha 90.00
_cell_angle_beta 90.00
_cell_angle_gamma 90.00
_space_group_name_H-M_alt 'P 1'
_space_group_IT_number 1
loop_
_space_group_symop_operation_xyz
'x,y,z'
loop_
_atom_site_label
_atom_site_type_symbol
_atom_site_fract_x
_atom_site_fract_y
_atom_site_fract_z
Na1 Na 0.000 0.000 0.000
Na2 Na 0.500 0.500 0.000
Ge1 Ge 0.400 0.900 0.000
Ge2 Ge 0.900 0.600 0.000
Ge3 Ge 0.600 0.100 0.000
Ge4 Ge 0.100 0.400 0.000
K1 K 0.186 0.686 0.500
K2 K 0.686 0.814 0.500
K3 K 0.814 0.314 0.500
K4 K 0.314 0.186 0.500
```

Output
As for the formation energy: -23.1 meV per atom. The value obtained for the energy above the lowest structure with this stoichiometry is 0.012 eV/atom.



No. 12
The following is a DFT calculation (GGA-PBE) of a relaxed CsZnSnBr5 crystal.

Geometry as CIF:
```
data_CsZnSnBr5
_cell_length_a 8.256
_cell_length_b 8.256
_cell_length_c 10.750
_cell_angle_alpha 104.69
_cell_angle_beta 104.69
_cell_angle_gamma 105.83
_space_group_name_H-M_alt 'P 1'
_space_group_IT_number 1
loop_
_space_group_symop_operation_xyz
'x,y,z'
loop_
_atom_site_label
_atom_site_type_symbol
_atom_site_fract_x
_atom_site_fract_y
_atom_site_fract_z
Cs1 Cs 0.348 0.652 0.250
Cs2 Cs 0.652 0.348 0.750
Zn1 Zn 0.688 0.312 0.250
Zn2 Zn 0.312 0.688 0.750
Sn1 Sn 0.000 0.000 0.500
Sn2 Sn 0.000 0.000 0.000
Br1 Br 0.080 0.920 0.250
Br2 Br 0.920 0.080 0.750
Br3 Br 0.894 0.318 0.121
Br4 Br 0.106 0.682 0.879
Br5 Br 0.682 0.106 0.379
Br6 Br 0.318 0.894 0.621
Br7 Br 0.763 0.605 0.427
Br8 Br 0.237 0.395 0.573
Br9 Br 0.395 0.237 0.073
Br10 Br 0.605 0.763 0.927
```

Output
The calculation puts the raw formation energy at -1079.6 meV/atom.



No. 13
The following is a DFT calculation (GGA-PBE) of a relaxed CaAlSeN2 crystal.

Geometry as CIF:
```
data_CaAlSeN2
_cell_length_a 4.495
_cell_length_b 4.495
_cell_length_c 5.837
_cell_angle_alpha 90.00
_cell_angle_beta 90.00
_cell_angle_gamma 90.00
_space_group_name_H-M_alt 'P 1'
_space_group_IT_number 1
loop_
_space_group_symop_operation_xyz
'x,y,z'
loop_
_atom_site_label
_atom_site_type_symbol
_atom_site_fract_x
_atom_site_fract_y
_atom_site_fract_z
Ca1 Ca 0.000 0.000 0.000
Al1 Al 0.500 0.500 0.500
Se1 Se 0.000 0.000 0.500
N1 N 0.000 0.500 0.000
N2 N 0.500 0.000 0.000
```

Output
The value obtained for the energy above the lowest structure with this stoichiometry is 1.297 eV/atom. The calculation puts the raw formation energy at 1212.1 meV/atom.



No. 14
The following is a DFT calculation (GGA-PBE) of a relaxed Pm4MgTl2 crystal.

Geometry as CIF:
```
data_Pm4MgTl2
_cell_length_a 5.400
_cell_length_b 5.400
_cell_length_c 9.135
_cell_angle_alpha 72.81
_cell_angle_beta 72.81
_cell_angle_gamma 60.00
_space_group_name_H-M_alt 'P 1'
_space_group_IT_number 1
loop_
_space_group_symop_operation_xyz
'x,y,z'
loop_
_atom_site_label
_atom_site_type_symbol
_atom_site_fract_x
_atom_site_fract_y
_atom_site_fract_z
Pm1 Pm 0.868 0.868 0.397
Pm2 Pm 0.132 0.132 0.603
Pm3 Pm 0.614 0.614 0.159
Pm4 Pm 0.386 0.386 0.841
Mg1 Mg 0.000 0.000 0.000
Tl1 Tl 0.742 0.742 0.774
Tl2 Tl 0.258 0.258 0.226
```

Output
As for the formation energy: -193.1 meV per atom. The value obtained for the energy above the lowest structure with this stoichiometry is 0.000 eV/atom.



No. 15
The following is a DFT calculation (GGA-PBE) of a relaxed TiCr3As crystal.

Geometry as CIF:
```
data_TiCr3As
_cell_length_a 4.519
_cell_length_b 4.519
_cell_length_c 4.519
_cell_angle_alpha 90.00
_cell_angle_beta 90.00
_cell_angle_gamma 90.00
_space_group_name_H-M_alt 'P 1'
_space_group_IT_number 1
loop_
_space_group_symop_operation_xyz
'x,y,z'
loop_
_atom_site_label
_atom_site_type_symbol
_atom_site_fract_x
_atom_site_fract_y
_atom_site_fract_z
Cr1 Cr 0.000 0.500 0.000
Cr2 Cr 0.000 0.000 0.500
Cr3 Cr 0.500 0.000 0.000
As1 As 0.500 0.500 0.500
Ti1 Ti 0.000 0.000 0.000
```

Output
As for the formation energy: 1382.9 meV per atom. The value obtained for the energy above the lowest structure with this stoichiometry is 0.576 eV/atom.



No. 16
The following is a DFT calculation (GGA-PBE) of a relaxed La2EuNb crystal.

Geometry as CIF:
```
data_La2EuNb
_cell_length_a 3.626
_cell_length_b 3.626
_cell_length_c 11.349
_cell_angle_alpha 80.81
_cell_angle_beta 80.81
_cell_angle_gamma 60.00
_space_group_name_H-M_alt 'P 1'
_space_group_IT_number 1
loop_
_space_group_symop_operation_xyz
'x,y,z'
loop_
_atom_site_label
_atom_site_type_symbol
_atom_site_fract_x
_atom_site_fract_y
_atom_site_fract_z
Eu1 Eu 0.500 0.500 0.500
Nb1 Nb 0.000 0.000 0.000
La1 La 0.263 0.263 0.211
La2 La 0.737 0.737 0.789
```

Output
As for the formation energy: 367.6 meV per atom.



Total energy values (in eV per atom) by entry order: -6.605, -4.729, -4.824, -3.889, -7.516, -5.147, -4.205, -4.802, -8.497, -5.934, -2.573, -2.891, -3.964, -3.812, -6.900, -7.182.
Fermi-level density of states values (in states/eV per cell) by entry order: 3.80, 3.11, 2.68, 0.84, 1.99, 13.42, 3.50, 5.09, 6.04, 3.74, 6.02, 0.00, 2.29, 7.16, 7.22, 4.90.